1.
# Pm5Ho2Ge4 | Alexandria | PBE | optimized geometry
data_Pm5Ho2Ge4
_symmetry_space_group_name_H-M 'C 1 2/m 1'
_symmetry_Int_Tables_number 12
_cell_length_a 21.3305
_cell_length_b 3.8239
_cell_length_c 8.2470
_cell_angle_alpha 90.00
_cell_angle_beta 95.84
_cell_angle_gamma 90.00
loop_
_symmetry_equiv_pos_as_xyz
'x,y,z'
'-x,-y,-z'
'-x,y,-z'
'x,-y,z'
'x+1/2,y+1/2,z'
'-x+1/2,-y+1/2,-z'
'-x+1/2,y+1/2,-z'
'x+1/2,-y+1/2,z'
loop_
_atom_site_label
_atom_site_type_symbol
_atom_site_fract_x
_atom_site_fract_y
_atom_site_fract_z
Pm1 Pm 0.0000 0.0000 0.0000
Pm2 Pm 0.1006 0.5000 0.4296
Pm3 Pm 0.1620 0.5000 0.9728
Ho1 Ho 0.2339 0.0000 0.6640
Ge1 Ge 0.0276 0.5000 0.7338
Ge2 Ge 0.1046 0.0000 0.7171
# crystal system = monoclinic
# Fermi-level density of states = 24.363 states/eV per cell
# uncorrected energy = -4.95 eV per atom


2.
# Pm2HoGe2 | Alexandria | PBE | optimized geometry
data_Pm2HoGe2
_symmetry_space_group_name_H-M 'P 4/m b m'
_symmetry_Int_Tables_number 127
_symmetry_space_group_name_Hall '-P 4 2ab'
_cell_length_a 7.6725
_cell_length_b 7.6725
_cell_length_c 4.3755
_cell_angle_alpha 90.00
_cell_angle_beta 90.00
_cell_angle_gamma 90.00
loop_
_atom_site_label
_atom_site_type_symbol
_atom_site_fract_x
_atom_site_fract_y
_atom_site_fract_z
Pm1 Pm 0.1743 0.3257 0.0000
Ho1 Ho 0.0000 0.0000 0.5000
Ge1 Ge 0.1231 0.6231 0.5000
# crystal system = tetragonal
# Fermi-level density of states = 9.061 states/eV per cell
# energy above the lowest structure with this stoichiometry = 0.000 eV/f.u.


3.
# PmHoGe3 | Alexandria | PBE | optimized geometry
data_PmHoGe3
_symmetry_space_group_name_H-M 'C m c m'
_symmetry_Int_Tables_number 63
_symmetry_space_group_name_Hall '-C 2c 2'
_cell_length_a 4.2047
_cell_length_b 27.1095
_cell_length_c 4.0013
_cell_angle_alpha 90.00
_cell_angle_beta 90.00
_cell_angle_gamma 90.00
loop_
_atom_site_label
_atom_site_type_symbol
_atom_site_fract_x
_atom_site_fract_y
_atom_site_fract_z
Pm1 Pm 0.0000 0.0735 0.2500
Ho1 Ho 0.0000 0.2043 0.7500
Ge1 Ge 0.0000 0.3125 0.7500
Ge2 Ge 0.0000 0.3756 0.2500
Ge3 Ge 0.0000 0.4709 0.2500
# crystal system = orthorhombic
# Fermi-level density of states = 10.380 states/eV per cell
# uncorrected energy = -5.33 eV per atom


4.
# PmHoGePt | Alexandria | PBE | optimized geometry
data_PmHoGePt
_symmetry_space_group_name_H-M 'F -4 3 m'
_symmetry_Int_Tables_number 216
_symmetry_space_group_name_Hall 'F -4 2 3'
_cell_length_a 7.1627
_cell_length_b 7.1627
_cell_length_c 7.1627
_cell_angle_alpha 90.00
_cell_angle_beta 90.00
_cell_angle_gamma 90.00
loop_
_atom_site_label
_atom_site_type_symbol
_atom_site_fract_x
_atom_site_fract_y
_atom_site_fract_z
Pm1 Pm 0.0000 0.0000 0.0000
Ho1 Ho 0.0000 0.0000 0.5000
Ge1 Ge 0.2500 0.2500 0.2500
Pt1 Pt 0.2500 0.2500 0.7500
# crystal system = cubic
# Fermi-level density of states = 5.518 states/eV per cell
# energy above the lowest structure with this stoichiometry = 0.553 eV/f.u.


5.
# PmHoGe2Pt5 | Alexandria | PBE | optimized geometry
data_PmHoGe2Pt5
_symmetry_space_group_name_H-M 'P 4/m m m'
_symmetry_Int_Tables_number 123
_symmetry_space_group_name_Hall '-P 4 2'
_cell_length_a 4.2989
_cell_length_b 4.2989
_cell_length_c 9.0342
_cell_angle_alpha 90.00
_cell_angle_beta 90.00
_cell_angle_gamma 90.00
loop_
_atom_site_label
_atom_site_type_symbol
_atom_site_fract_x
_atom_site_fract_y
_atom_site_fract_z
Pm1 Pm 0.0000 0.0000 0.0000
Ho1 Ho 0.0000 0.0000 0.5000
Ge1 Ge 0.5000 0.5000 0.3660
Pt1 Pt 0.0000 0.5000 0.2315
Pt2 Pt 0.5000 0.5000 0.0000
# crystal system = tetragonal
# Fermi-level density of states = 3.286 states/eV per cell
# uncorrected energy = -6.31 eV per atom


6.
# Pm2HoGe3Pt4 | Alexandria | PBE | optimized geometry
data_Pm2HoGe3Pt4
_symmetry_space_group_name_H-M 'P -4 m 2'
_symmetry_Int_Tables_number 115
_cell_length_a 4.2981
_cell_length_b 4.2981
_cell_length_c 11.1702
_cell_angle_alpha 90.00
_cell_angle_beta 90.00
_cell_angle_gamma 90.00
loop_
_symmetry_equiv_pos_as_xyz
'x,y,z'
'y,-x,-z'
'-x,-y,z'
'-y,x,-z'
'-x,y,z'
'-y,-x,-z'
'x,-y,z'
'y,x,-z'
loop_
_atom_site_label
_atom_site_type_symbol
_atom_site_fract_x
_atom_site_fract_y
_atom_site_fract_z
Pm1 Pm 0.0000 0.5000 0.2217
Ho1 Ho 0.0000 0.0000 0.5000
Ge1 Ge 0.0000 0.5000 0.8762
Ge2 Ge 0.5000 0.5000 0.5000
Pt1 Pt 0.0000 0.0000 0.0000
Pt2 Pt 0.0000 0.5000 0.6560
Pt3 Pt 0.5000 0.5000 0.0000
# crystal system = tetragonal
# Fermi-level density of states = 8.231 states/eV per cell
# uncorrected energy = -6.18 eV per atom


7.
# Pm2HoGe4Pt3 | Alexandria | PBE | optimized geometry
data_Pm2HoGe4Pt3
_symmetry_space_group_name_H-M 'P -4 m 2'
_symmetry_Int_Tables_number 115
_cell_length_a 4.2892
_cell_length_b 4.2892
_cell_length_c 11.3086
_cell_angle_alpha 90.00
_cell_angle_beta 90.00
_cell_angle_gamma 90.00
loop_
_symmetry_equiv_pos_as_xyz
'x,y,z'
'y,-x,-z'
'-x,-y,z'
'-y,x,-z'
'-x,y,z'
'-y,-x,-z'
'x,-y,z'
'y,x,-z'
loop_
_atom_site_label
_atom_site_type_symbol
_atom_site_fract_x
_atom_site_fract_y
_atom_site_fract_z
Pm1 Pm 0.0000 0.5000 0.2323
Ho1 Ho 0.0000 0.0000 0.5000
Ge1 Ge 0.0000 0.0000 0.0000
Ge2 Ge 0.0000 0.5000 0.6622
Ge3 Ge 0.5000 0.5000 0.0000
Pt1 Pt 0.0000 0.5000 0.8813
Pt2 Pt 0.5000 0.5000 0.5000
# crystal system = tetragonal
# Fermi-level density of states = 3.902 states/eV per cell
# uncorrected energy = -5.97 eV per atom


8.
# PmHoGePt | Alexandria | PBE | optimized geometry
data_PmHoGePt
_symmetry_space_group_name_H-M 'A m m 2'
_symmetry_Int_Tables_number 38
_cell_length_a 4.2731
_cell_length_b 4.0148
_cell_length_c 10.9861
_cell_angle_alpha 90.00
_cell_angle_beta 90.00
_cell_angle_gamma 90.00
loop_
_symmetry_equiv_pos_as_xyz
'x,y,z'
'-x,-y,z'
'-x,y,z'
'x,-y,z'
'x,y+1/2,z+1/2'
'-x,-y+1/2,z+1/2'
'-x,y+1/2,z+1/2'
'x,-y+1/2,z+1/2'
loop_
_atom_site_label
_atom_site_type_symbol
_atom_site_fract_x
_atom_site_fract_y
_atom_site_fract_z
Pm1 Pm 0.0000 0.0000 0.0000
Ho1 Ho 0.5000 0.0000 0.2783
Ge1 Ge 0.0000 0.0000 0.7226
Pt1 Pt 0.5000 0.0000 0.5559
# crystal system = orthorhombic
# Fermi-level density of states = 4.302 states/eV per cell
# energy above the lowest structure with this stoichiometry = 0.000 eV/f.u.


9.
# Pm2HoGe2Pt7 | Alexandria | PBE | optimized geometry
data_Pm2HoGe2Pt7
_symmetry_space_group_name_H-M 'C 1 2/m 1'
_symmetry_Int_Tables_number 12
_cell_length_a 5.8167
_cell_length_b 5.7571
_cell_length_c 14.1248
_cell_angle_alpha 90.00
_cell_angle_beta 98.47
_cell_angle_gamma 90.00
loop_
_symmetry_equiv_pos_as_xyz
'x,y,z'
'-x,-y,-z'
'-x,y,-z'
'x,-y,z'
'x+1/2,y+1/2,z'
'-x+1/2,-y+1/2,-z'
'-x+1/2,y+1/2,-z'
'x+1/2,-y+1/2,z'
loop_
_atom_site_label
_atom_site_type_symbol
_atom_site_fract_x
_atom_site_fract_y
_atom_site_fract_z
Pm1 Pm 0.1141 0.0000 0.3562
Ho1 Ho 0.0000 0.0000 0.0000
Ge1 Ge 0.0923 0.5000 0.2538
Pt1 Pt 0.0000 0.5000 0.0000
Pt2 Pt 0.1247 0.5000 0.4288
Pt3 Pt 0.1944 0.2504 0.8475
# crystal system = monoclinic
# Fermi-level density of states = 10.723 states/eV per cell
# uncorrected energy = -6.47 eV per atom


10.
# PmHo2Ge2Pt7 | Alexandria | PBE | optimized geometry
data_PmHo2Ge2Pt7
_symmetry_space_group_name_H-M 'C 1 2/m 1'
_symmetry_Int_Tables_number 12
_cell_length_a 5.8068
_cell_length_b 5.7323
_cell_length_c 14.1094
_cell_angle_alpha 90.00
_cell_angle_beta 99.62
_cell_angle_gamma 90.00
loop_
_symmetry_equiv_pos_as_xyz
'x,y,z'
'-x,-y,-z'
'-x,y,-z'
'x,-y,z'
'x+1/2,y+1/2,z'
'-x+1/2,-y+1/2,-z'
'-x+1/2,y+1/2,-z'
'x+1/2,-y+1/2,z'
loop_
_atom_site_label
_atom_site_type_symbol
_atom_site_fract_x
_atom_site_fract_y
_atom_site_fract_z
Pm1 Pm 0.0000 0.0000 0.0000
Ho1 Ho 0.1286 0.0000 0.3599
Ge1 Ge 0.1077 0.5000 0.2615
Pt1 Pt 0.0000 0.5000 0.0000
Pt2 Pt 0.1409 0.5000 0.4344
Pt3 Pt 0.1835 0.2502 0.8398
# crystal system = monoclinic
# Fermi-level density of states = 9.736 states/eV per cell
# uncorrected energy = -6.39 eV per atom


11.
# PmHoGe2Rh5 | Alexandria | PBE | optimized geometry
data_PmHoGe2Rh5
_symmetry_space_group_name_H-M 'P 4/m m m'
_symmetry_Int_Tables_number 123
_symmetry_space_group_name_Hall '-P 4 2'
_cell_length_a 4.2044
_cell_length_b 4.2044
_cell_length_c 8.9777
_cell_angle_alpha 90.00
_cell_angle_beta 90.00
_cell_angle_gamma 90.00
loop_
_atom_site_label
_atom_site_type_symbol
_atom_site_fract_x
_atom_site_fract_y
_atom_site_fract_z
Pm1 Pm 0.0000 0.0000 0.0000
Ho1 Ho 0.0000 0.0000 0.5000
Ge1 Ge 0.5000 0.5000 0.3607
Rh1 Rh 0.0000 0.5000 0.2325
Rh2 Rh 0.5000 0.5000 0.0000
# crystal system = tetragonal
# Fermi-level density of states = 6.228 states/eV per cell
# uncorrected energy = -6.84 eV per atom


12.
# PmHoGeSe | Alexandria | PBE | optimized geometry
data_PmHoGeSe
_symmetry_space_group_name_H-M 'R 3 m'
_symmetry_Int_Tables_number 160
_symmetry_space_group_name_Hall 'R 3 -2"'
_cell_length_a 4.1751
_cell_length_b 4.1751
_cell_length_c 20.5961
_cell_angle_alpha 90.00
_cell_angle_beta 90.00
_cell_angle_gamma 120.00
loop_
_atom_site_label
_atom_site_type_symbol
_atom_site_fract_x
_atom_site_fract_y
_atom_site_fract_z
Pm1 Pm 0.0000 0.0000 0.0000
Ho1 Ho 0.0000 0.0000 0.5076
Ge1 Ge 0.0000 0.0000 0.2514
Se1 Se 0.0000 0.0000 0.7572
# crystal system = trigonal
# Fermi-level density of states = 3.617 states/eV per cell
# uncorrected energy = -5.74 eV per atom


| no. | M_tot (μB/atom) |
| --- | --- |
| 1 | 0.0001 |
| 2 | 0.0000 |
| 3 | 0.0000 |
| 4 | 0.0000 |
| 5 | 0.0000 |
| 6 | 0.0000 |
| 7 | 0.0000 |
| 8 | 0.0000 |
| 9 | 0.0000 |
| 10 | 0.0000 |
| 11 | 0.0000 |
| 12 | 0.0000 |